No. 1
The following is a PBE calculation of a geometry-optimized Pr8Zn3PBr4 structure, from the Alexandria database.

a b c (Å): 8.877 8.877 8.877
angles (deg): 57.21 57.21 57.21
Atoms (fractional coordinates):
Pr 0.244 0.244 0.244
Pr 0.249 0.736 0.736
Pr 0.264 0.264 0.751
Pr 0.264 0.751 0.264
Pr 0.736 0.249 0.736
Pr 0.736 0.736 0.249
Pr 0.751 0.264 0.264
Pr 0.756 0.756 0.756
Zn 0.000 0.000 0.500
Zn 0.000 0.500 0.000
Zn 0.500 0.000 0.000
P 0.500 0.500 0.500
Br 0.000 0.000 0.000
Br 0.000 0.500 0.500
Br 0.500 0.000 0.500
Br 0.500 0.500 0.000

Calculated values
crystal system	trigonal
space group	No. 166

No. 2
The following is a PBE calculation of a geometry-optimized P2PtBr structure, from the Alexandria database.

a b c (Å): 3.500 3.500 8.184
angles (deg): 90.00 90.00 90.00
Atoms (fractional coordinates):
P 0.000 0.500 0.000
P 0.500 0.000 0.000
Pt 0.000 0.000 0.500
Br 0.500 0.500 0.500

Calculated values
crystal system	tetragonal
ΔE to the lowest computed polymorph	977	meV/atom
space group	No. 123

No. 3
The following is a PBE calculation of a geometry-optimized P2PtBr structure, from the Alexandria database.

a b c (Å): 3.799 3.799 7.323
angles (deg): 104.74 104.74 60.68
Atoms (fractional coordinates):
P 0.116 0.116 0.355
P 0.884 0.884 0.645
Pt 0.500 0.500 0.500
Br 0.000 0.000 0.000

Calculated values
crystal system	monoclinic
ΔE to the lowest computed polymorph	0	meV/atom
space group	No. 12

No. 4
The following is a PBE calculation of a geometry-optimized PPtBr structure, from the Alexandria database.

a b c (Å): 4.467 4.467 4.467
angles (deg): 60.00 60.00 60.00
Atoms (fractional coordinates):
P 0.000 0.000 0.000
Pt 0.500 0.500 0.500
Br 0.250 0.250 0.250

Calculated values
crystal system	cubic
ΔE to the lowest computed polymorph	1436	meV/atom
space group	No. 216

No. 5
The following is a PBE calculation of a geometry-optimized PPtBr structure, from the Alexandria database.

a b c (Å): 7.160 6.576 3.770
angles (deg): 82.83 65.68 31.50
Atoms (fractional coordinates):
P 0.000 0.000 0.000
Pt 0.391 0.391 0.609
Br 0.737 0.737 0.263

Calculated values
crystal system	orthorhombic
ΔE to the lowest computed polymorph	320	meV/atom
space group	No. 42

No. 6
The following is a PBE calculation of a geometry-optimized PPt2Br structure, from the Alexandria database.

a b c (Å): 4.556 4.556 4.556
angles (deg): 111.86 111.86 104.79
Atoms (fractional coordinates):
P 0.000 0.000 0.000
Pt 0.000 0.500 0.500
Pt 0.500 0.000 0.500
Br 0.500 0.500 0.000

Calculated values
crystal system	tetragonal
space group	No. 139

No. 7
The following is a PBE calculation of a geometry-optimized PPt3Br structure, from the Alexandria database.

a b c (Å): 4.596 4.596 4.596
angles (deg): 90.00 90.00 90.00
Atoms (fractional coordinates):
P 0.000 0.000 0.000
Pt 0.000 0.000 0.500
Pt 0.000 0.500 0.000
Pt 0.500 0.000 0.000
Br 0.500 0.500 0.500

Calculated values
crystal system	cubic
space group	No. 221

No. 8
The following is a PBE calculation of a geometry-optimized PPt2Br structure, from the Alexandria database.

a b c (Å): 4.822 3.516 5.423
angles (deg): 90.00 94.21 90.00
Atoms (fractional coordinates):
P 0.000 0.000 0.000
Pt 0.270 0.500 0.135
Pt 0.730 0.500 0.865
Br 0.500 0.000 0.500

Calculated values
crystal system	monoclinic
space group	No. 10

No. 9
The following is a PBE calculation of a geometry-optimized P2PtBr structure, from the Alexandria database.

a b c (Å): 4.789 3.810 5.493
angles (deg): 90.00 92.80 90.00
Atoms (fractional coordinates):
P 0.207 0.000 0.473
P 0.793 0.000 0.527
Pt 0.500 0.500 0.500
Br 0.500 0.500 0.000

Calculated values
crystal system	monoclinic
ΔE to the lowest computed polymorph	153	meV/atom
space group	No. 10

No. 10
The following is a PBE calculation of a geometry-optimized P2PtBr structure, from the Alexandria database.

a b c (Å): 6.839 6.839 6.839
angles (deg): 32.18 32.18 32.18
Atoms (fractional coordinates):
P 0.220 0.220 0.220
P 0.780 0.780 0.780
Pt 0.500 0.500 0.500
Br 0.000 0.000 0.000

Calculated values
crystal system	trigonal
ΔE to the lowest computed polymorph	205	meV/atom
space group	No. 166

No. 11
The following is a PBE calculation of a geometry-optimized P3PtBr structure, from the Alexandria database.

a b c (Å): 4.765 4.765 4.765
angles (deg): 90.00 90.00 90.00
Atoms (fractional coordinates):
P 0.000 0.000 0.500
P 0.000 0.500 0.000
P 0.500 0.000 0.000
Pt 0.000 0.000 0.000
Br 0.500 0.500 0.500

Calculated values
crystal system	cubic
ΔE to the lowest computed polymorph	0	meV/atom
space group	No. 221

No. 12
The following is a PBE calculation of a geometry-optimized PPt2Br structure, from the Alexandria database.

a b c (Å): 3.872 3.872 7.567
angles (deg): 90.00 90.00 129.68
Atoms (fractional coordinates):
P 0.000 0.000 0.000
Pt 0.500 0.500 0.207
Pt 0.500 0.500 0.793
Br 0.000 0.000 0.500

Calculated values
crystal system	orthorhombic
space group	No. 65

| no. | E (eV for the cell shown) | ΔE_f (raw) (eV/atom) |
| --- | --- | --- |
| 1 | -68.5 | -0.90 |
| 2 | -15.6 | 0.72 |
| 3 | -19.5 | -0.25 |
| 4 | -9.5 | 1.20 |
| 5 | -12.9 | 0.08 |
| 6 | -17.9 | 0.31 |
| 7 | -23.2 | 0.40 |
| 8 | -18.9 | 0.05 |
| 9 | -18.9 | -0.10 |
| 10 | -18.7 | -0.05 |
| 11 | -19.7 | 0.85 |
| 12 | -18.6 | 0.14 |